# 1
SrLaDy PBE optimized geometry; E above lowest polymorph = 0 meV per atom
1.0
-1.896 3.197 -0.859
-1.271 0.211 3.591
8.118 2.724 0.686
Dy Sr La
1 1 1
Cartesian
4.207 2.850 1.321
4.906 6.102 3.403
0.789 3.312 2.111

***

# 2
BaCrRuAu2 PBE optimized geometry; DFT total energy = -22.86 eV for the cell shown
1.0
-5.188 0.225 0.559
0.092 -4.492 2.663
0.600 2.677 4.496
Au Cr Ba Ru
2 1 1 1
Cartesian
0.046 -2.246 1.331
-2.594 0.112 0.279
-2.248 -0.795 3.859
0.300 1.339 2.248
0.000 0.000 0.000

***

# 3
La2ScP PBE optimized geometry; DFT total energy = -23.27 eV for the cell shown
1.0
3.091 -4.294 0.000
3.091 4.294 0.000
0.000 0.000 3.828
La P Sc
2 1 1
Cartesian
1.545 -2.147 0.000
1.545 2.147 0.000
0.000 0.000 1.914
3.091 0.000 1.914

***

Repeat the first record exactly.
SrLaDy PBE optimized geometry; E above lowest polymorph = 0 meV per atom
1.0
-1.896 3.197 -0.859
-1.271 0.211 3.591
8.118 2.724 0.686
Dy Sr La
1 1 1
Cartesian
4.207 2.850 1.321
4.906 6.102 3.403
0.789 3.312 2.111

***

Question: Number 3 is which compound?
Answer: La2ScP